Entry 1:
Density functional theory data (PBE-GGA) for RbTeAu3 after structural relaxation.

## Properties
* relative energy among the computed polymorphs: 1343.8 meV per atom
* ρ: 7.32 g cm⁻³
* DOS at the Fermi energy: 0.608 states/eV per atom
* V: 36.47 Å³ per atom
* crystal system: cubic
* final energy: -7.544 eV per cell
* formation energy (no corrections): 1.2795 eV/atom

```
data_RbTeAu3
_space_group_name_H-M_alt 'P m -3 m'
_space_group_IT_number 221
_space_group_name_Hall '-P 4 2 3'
_cell_length_a 5.6706
_cell_length_b 5.6706
_cell_length_c 5.6706
_cell_angle_alpha 90.00
_cell_angle_beta 90.00
_cell_angle_gamma 90.00
loop_
_atom_site_label
_atom_site_fract_x
_atom_site_fract_y
_atom_site_fract_z
Rb1 0.0000 0.0000 0.0000
Te1 0.5000 0.5000 0.5000
Au1 0.0000 0.0000 0.5000
```

Entry 2:
Density functional theory data (PBE-GGA) for RbTeAu3 after structural relaxation.

## Properties
* relative energy among the computed polymorphs: 0.0 meV per atom
* ρ: 8.06 g cm⁻³
* DOS at the Fermi energy: 0.189 states/eV per atom
* V: 33.13 Å³ per atom
* crystal system: cubic
* final energy: -14.263 eV per cell
* formation energy (no corrections): -0.0643 eV/atom

```
data_RbTeAu3
_space_group_name_H-M_alt 'P m -3 m'
_space_group_IT_number 221
_space_group_name_Hall '-P 4 2 3'
_cell_length_a 5.4918
_cell_length_b 5.4918
_cell_length_c 5.4918
_cell_angle_alpha 90.00
_cell_angle_beta 90.00
_cell_angle_gamma 90.00
loop_
_atom_site_label
_atom_site_fract_x
_atom_site_fract_y
_atom_site_fract_z
Rb1 0.0000 0.0000 0.0000
Te1 0.5000 0.5000 0.5000
Au1 0.0000 0.5000 0.5000
```

Entry 3:
Density functional theory data (PBE-GGA) for Rb2Te6Au after structural relaxation.

## Properties
* ρ: 5.43 g cm⁻³
* DOS at the Fermi energy: 0.437 states/eV per atom
* V: 38.50 Å³ per atom
* crystal system: orthorhombic
* final energy: -53.688 eV per cell
* formation energy (no corrections): -0.3091 eV/atom

```
data_Rb2Te6Au
_space_group_name_H-M_alt 'I m m m'
_space_group_IT_number 71
_space_group_name_Hall '-I 2 2'
_cell_length_a 4.2067
_cell_length_b 11.1325
_cell_length_c 14.7976
_cell_angle_alpha 90.00
_cell_angle_beta 90.00
_cell_angle_gamma 90.00
loop_
_atom_site_label
_atom_site_fract_x
_atom_site_fract_y
_atom_site_fract_z
Rb1 0.0000 0.0000 0.1497
Te1 0.0000 0.2278 0.3208
Te2 0.0000 0.3315 0.0000
Au1 0.0000 0.0000 0.5000
```

Entry 4:
Density functional theory data (PBE-GGA) for RbTh4Te12Au3 after structural relaxation.

## Properties
* ρ: 7.04 g cm⁻³
* DOS at the Fermi energy: 0.496 states/eV per atom
* V: 37.00 Å³ per atom
* crystal system: cubic
* final energy: -183.379 eV per cell
* formation energy (no corrections): -0.6755 eV/atom

```
data_RbTh4Te12Au3
_space_group_name_H-M_alt 'I m -3'
_space_group_IT_number 204
_space_group_name_Hall '-I 2 2 3'
_cell_length_a 11.3960
_cell_length_b 11.3960
_cell_length_c 11.3960
_cell_angle_alpha 90.00
_cell_angle_beta 90.00
_cell_angle_gamma 90.00
loop_
_atom_site_label
_atom_site_fract_x
_atom_site_fract_y
_atom_site_fract_z
Rb1 0.0000 0.0000 0.0000
Th1 0.2500 0.2500 0.2500
Te1 0.0000 0.3218 0.1639
Au1 0.0000 0.0000 0.5000
```

Entry 5:
Density functional theory data (PBE-GGA) for Rb3Th2Te6Au after structural relaxation.

## Properties
* ρ: 5.93 g cm⁻³
* V: 39.26 Å³ per atom
* crystal system: monoclinic
* final energy: -103.520 eV per cell
* formation energy (no corrections): -0.9909 eV/atom

```
data_Rb3Th2Te6Au
_space_group_name_H-M_alt 'C 1 2/m 1'
_space_group_IT_number 12
_space_group_name_Hall '-C 2y'
_cell_length_a 8.1772
_cell_length_b 13.5055
_cell_length_c 8.9691
_cell_angle_alpha 90.00
_cell_angle_beta 107.98
_cell_angle_gamma 90.00
loop_
_atom_site_label
_atom_site_fract_x
_atom_site_fract_y
_atom_site_fract_z
Rb1 0.0000 0.0000 0.0000
Rb2 0.0000 0.3342 0.0000
Th1 0.0000 0.1683 0.5000
Te1 0.2156 0.0000 0.7103
Te2 0.2329 0.3384 0.6945
Au1 0.0000 0.5000 0.5000
```

Entry 6:
Density functional theory data (PBE-GGA) for RbThTe4Au after structural relaxation.

## Properties
* ρ: 6.91 g cm⁻³
* DOS at the Fermi energy: 0.653 states/eV per atom
* V: 35.17 Å³ per atom
* crystal system: monoclinic
* final energy: -59.663 eV per cell
* formation energy (no corrections): -0.8000 eV/atom

```
data_RbThTe4Au
_space_group_name_H-M_alt 'P 1 21/m 1'
_space_group_IT_number 11
_space_group_name_Hall '-P 2yb'
_cell_length_a 7.9212
_cell_length_b 6.2902
_cell_length_c 10.4089
_cell_angle_alpha 90.00
_cell_angle_beta 108.31
_cell_angle_gamma 90.00
loop_
_atom_site_label
_atom_site_fract_x
_atom_site_fract_y
_atom_site_fract_z
Rb1 0.2205 0.2500 0.0558
Th1 0.2753 0.2500 0.5580
Te1 0.0195 0.5071 0.7014
Te2 0.4242 0.7500 0.5969
Te3 0.4677 0.7500 0.1424
Au1 0.2880 0.7500 0.3195
```